No. 1
The following is a PBE-GGA calculation of an optimized crystal structure of InAuNO, from OQMD.

Lattice parameters (Å, degrees): 4.3204 4.3204 6.5772 90.00 90.00 90.00
Space group P4/nmm (No. 129, origin choice 2)
Asymmetric unit:
In 0.2500 0.2500 0.1158
Au 0.2500 0.7500 0.5000
N 0.2500 0.2500 0.4505
O 0.2500 0.7500 0.0000

Values from the calculation:
E above lowest polymorph in eV per formula unit: 0.000

***

No. 2
The following is a PBE-GGA calculation of an optimized crystal structure of CuGeOs, from OQMD.

Lattice parameters (Å, degrees): 5.7060 5.7060 5.7060 90.00 90.00 90.00
Space group F-43m (No. 216)
Asymmetric unit:
Cu 0.0000 0.0000 0.0000
Ge 0.2500 0.2500 0.2500
Os 0.0000 0.0000 0.5000

Values from the calculation:
E above lowest polymorph in eV per formula unit: 0.000

***

No. 3
The following is a PBE-GGA calculation of an optimized crystal structure of Ni10Te, from OQMD.

Lattice parameters (Å, degrees): 7.8024 3.5456 31.4503 90.00 90.04 90.00
Space group C2/m (No. 12)
Asymmetric unit:
Ni 0.0456 0.0000 0.2890
Ni 0.0498 0.0000 0.5374
Ni 0.0501 0.5000 0.4126
Ni 0.0505 0.5000 0.6617
Ni 0.1485 0.5000 0.7373
Ni 0.1502 0.0000 0.3630
Ni 0.1500 0.0000 0.6122
Ni 0.1500 0.5000 0.4875
Ni 0.2481 0.0000 0.6850
Ni 0.2503 0.0000 0.4376
Te 0.1509 0.5000 0.2337

Values from the calculation:
E above lowest polymorph in eV per formula unit: 0.009

***

No. 4
The following is a PBE-GGA calculation of an optimized crystal structure of SmAl3Ni, from OQMD.

Lattice parameters (Å, degrees): 8.2194 4.0947 10.7274 90.00 90.00 90.00
Space group Pnma (No. 62)
Asymmetric unit:
Sm 0.1841 0.2500 0.0097
Al 0.0551 0.2500 0.5824
Al 0.1193 0.7500 0.7842
Al 0.1413 0.7500 0.2231
Ni 0.1023 0.2500 0.3554

***

No. 5
The following is a PBE-GGA calculation of an optimized crystal structure of LiLaTm, from OQMD.

Lattice parameters (Å, degrees): 7.2081 7.2081 7.2081 90.00 90.00 90.00
Space group F-43m (No. 216)
Asymmetric unit:
Li 0.0000 0.0000 0.0000
La 0.2500 0.2500 0.7500
Tm 0.2500 0.2500 0.2500

Values from the calculation:
E above lowest polymorph in eV per formula unit: 0.000

***

No. 6
The following is a PBE-GGA calculation of an optimized crystal structure of Ta10Re3, from OQMD.

Lattice parameters (Å, degrees): 5.4150 5.4150 27.5717 90.00 90.00 120.00
Space group R-3m (No. 166, hexagonal axes)
Asymmetric unit:
Ta 0.0000 0.0000 0.0458
Ta 0.0000 0.0000 0.1490
Ta 0.0029 0.5014 0.9113
Re 0.0000 0.0000 0.3323
Re 0.0000 0.0000 0.5000

Values from the calculation:
E above lowest polymorph in eV per formula unit: 1.358
Energy of formation in eV per atom: 0.136

***

no.,calculated total energy (eV per atom)
1,-4.760
2,-6.169
3,-5.374
4,-4.894
5,-3.300
6,-11.848